The following is a PBE calculation of crystalline Cs2In2Bi3 at its relaxed geometry, from the Alexandria database.

```
Cs2In2Bi3
1.0
4.7936 0.0000 0.0000
-2.3665 7.1954 0.0000
-0.0802 -0.6076 9.5185
Cs In Bi
2 2 3
direct
0.1357 0.2613 0.3557
0.8643 0.7387 0.6443
0.3481 0.6969 0.0064
0.6519 0.3031 0.9936
0.0000 0.0000 0.0000
0.1744 0.3524 0.7872
0.8256 0.6476 0.2128
```

As for the energy above the most stable polymorph in this dataset: 68.7 meV per atom. The magnetization comes out at 0.00 μB per cell. The volume comes out at 46.90 Å³/atom. The density of states at the Fermi level is 3.2 states/eV per cell.



The following is a PBE calculation of crystalline Cs3In8Bi3 at its relaxed geometry, from the Alexandria database.

```
Cs3In8Bi3
1.0
-2.6657 5.9477 7.7965
2.6657 -5.9477 7.7965
2.6657 5.9477 -7.7965
Cs In Bi
3 8 3
direct
0.0000 0.0000 0.0000
0.3062 0.3062 0.0000
0.6938 0.6938 0.0000
0.0286 0.6644 0.3642
0.1231 0.8538 0.2693
0.3002 0.6644 0.6358
0.4155 0.1462 0.2693
0.5845 0.8538 0.7307
0.6998 0.3356 0.3642
0.8769 0.1462 0.7307
0.9714 0.3356 0.6358
0.2976 0.5000 0.7976
0.5000 0.0000 0.5000
0.7024 0.5000 0.2024
```

The magnetization comes out at 0.00 μB per cell. The volume comes out at 35.32 Å³/atom. The density of states at the Fermi level is 10.7 states/eV per cell.



The following is a PBE calculation of crystalline CsInBi3 at its relaxed geometry, from the Alexandria database.

```
CsInBi3
1.0
5.9610 0.0000 0.0000
0.0000 5.9610 0.0000
0.0000 0.0000 5.9610
Cs In Bi
1 1 3
direct
0.0000 0.0000 0.0000
0.5000 0.5000 0.5000
0.0000 0.5000 0.5000
0.5000 0.0000 0.5000
0.5000 0.5000 0.0000
```

As for the energy above the most stable polymorph in this dataset: 327.2 meV per atom. The magnetization comes out at 0.00 μB per cell. The volume comes out at 42.36 Å³/atom. The density of states at the Fermi level is 4.7 states/eV per cell.



The following is a PBE calculation of crystalline Cs5In4Bi4 at its relaxed geometry, from the Alexandria database.

```
Cs5In4Bi4
1.0
-7.4529 7.4529 2.5869
7.4529 -7.4529 2.5869
7.4529 7.4529 -2.5869
Cs In Bi
5 4 4
direct
0.0000 0.0000 0.0000
0.2908 0.3539 0.6447
0.3539 0.7092 0.0630
0.6461 0.2908 0.9370
0.7092 0.6461 0.3553
0.0925 0.5568 0.6492
0.4432 0.0925 0.5357
0.5568 0.9075 0.4643
0.9075 0.4432 0.3508
0.0390 0.2793 0.3184
0.2793 0.9610 0.2403
0.7207 0.0390 0.7597
0.9610 0.7207 0.6816
```

The magnetization comes out at 0.00 μB per cell. The volume comes out at 44.21 Å³/atom. The density of states at the Fermi level is 2.9 states/eV per cell.



The following is a PBE calculation of crystalline CsInBi3 at its relaxed geometry, from the Alexandria database.

```
CsInBi3
1.0
7.4609 0.0000 0.0000
0.0000 9.8662 0.0000
0.0000 0.0000 6.0850
Cs In Bi
2 2 6
direct
0.0000 0.0852 0.0000
0.5000 0.9148 0.5000
0.0000 0.5263 0.3062
0.5000 0.4737 0.8062
0.0000 0.7606 0.6160
0.2469 0.3117 0.4912
0.2531 0.6883 0.9912
0.5000 0.2394 0.1160
0.7469 0.6883 0.9912
0.7531 0.3117 0.4912
```

As for the energy above the most stable polymorph in this dataset: 0.0 meV per atom. The magnetization comes out at 0.00 μB per cell. The volume comes out at 44.79 Å³/atom. The density of states at the Fermi level is 2.6 states/eV per cell.



The following is a PBE calculation of crystalline Cs2InBi at its relaxed geometry, from the Alexandria database.

```
Cs2InBi
1.0
9.1368 0.0000 0.0000
0.0000 9.1368 0.0000
0.0000 0.0000 9.1368
Cs In Bi
8 4 4
direct
0.2500 0.2500 0.2500
0.2500 0.2500 0.7500
0.2500 0.7500 0.2500
0.2500 0.7500 0.7500
0.7500 0.2500 0.2500
0.7500 0.2500 0.7500
0.7500 0.7500 0.2500
0.7500 0.7500 0.7500
0.0000 0.0000 0.0000
0.0000 0.5000 0.5000
0.5000 0.0000 0.5000
0.5000 0.5000 0.0000
0.0000 0.0000 0.5000
0.0000 0.5000 0.0000
0.5000 0.0000 0.0000
0.5000 0.5000 0.5000
```

As for the energy above the most stable polymorph in this dataset: 211.3 meV per atom. The magnetization comes out at 0.00 μB per cell. The volume comes out at 47.67 Å³/atom. The density of states at the Fermi level is 0.0 states/eV per cell.



The following is a PBE calculation of crystalline Cs4InBi3 at its relaxed geometry, from the Alexandria database.

```
Cs4InBi3
1.0
-7.5670 7.5670 3.3415
7.5670 -7.5670 3.3415
7.5670 7.5670 -3.3415
Cs In Bi
8 2 6
direct
0.0873 0.7719 0.8592
0.2281 0.0873 0.3154
0.2719 0.5873 0.8592
0.4127 0.2719 0.6846
0.5873 0.7281 0.3154
0.7281 0.4127 0.1408
0.7719 0.9127 0.6846
0.9127 0.2281 0.1408
0.2500 0.7500 0.5000
0.7500 0.2500 0.5000
0.1208 0.3792 0.5000
0.2500 0.2500 0.0000
0.3792 0.8792 0.2584
0.6208 0.1208 0.7416
0.7500 0.7500 0.0000
0.8792 0.6208 0.5000
```

The magnetization comes out at 0.14 μB per cell. The volume comes out at 47.83 Å³/atom. The density of states at the Fermi level is 18.2 states/eV per cell.



The following is a PBE calculation of crystalline Cs2K4InBi2 at its relaxed geometry, from the Alexandria database.

```
Cs2K4InBi2
1.0
8.5691 -4.5770 0.0000
8.5691 4.5770 0.0000
-2.1919 0.0000 5.7555
Cs K In Bi
2 4 1 2
direct
0.1389 0.1389 0.1407
0.8611 0.8611 0.8593
0.1571 0.5725 0.3635
0.4275 0.8429 0.6365
0.5725 0.1571 0.3635
0.8429 0.4275 0.6365
0.5000 0.5000 0.0000
0.3047 0.3047 0.8042
0.6953 0.6953 0.1958
```

The magnetization comes out at 0.63 μB per cell. The volume comes out at 50.16 Å³/atom. The density of states at the Fermi level is 7.4 states/eV per cell.



The following is a PBE calculation of crystalline Cs2K2InBi2 at its relaxed geometry, from the Alexandria database.

```
Cs2K2InBi2
1.0
14.2669 0.0000 0.0000
0.0000 5.2234 0.0000
-5.0366 0.0000 9.4235
Cs K In Bi
4 4 2 4
direct
0.1543 0.0000 0.3201
0.3457 0.5000 0.6799
0.6543 0.5000 0.3201
0.8457 0.0000 0.6799
0.1351 0.5000 0.9153
0.3649 0.0000 0.0847
0.6351 0.0000 0.9153
0.8649 0.5000 0.0847
0.0000 0.5000 0.5000
0.5000 0.0000 0.5000
0.1329 0.0000 0.6822
0.3671 0.5000 0.3178
0.6329 0.5000 0.6822
0.8671 0.0000 0.3178
```

The magnetization comes out at 0.27 μB per cell. The volume comes out at 50.16 Å³/atom. The density of states at the Fermi level is 5.0 states/eV per cell.



The following is a PBE calculation of crystalline Cs2KIn3Bi4 at its relaxed geometry, from the Alexandria database.

```
Cs2KIn3Bi4
1.0
5.5553 0.0000 0.0000
0.0000 5.5553 0.0000
0.0000 0.0000 12.9014
Cs K In Bi
2 1 3 4
direct
0.0000 0.5000 0.2416
0.5000 0.0000 0.7584
0.0000 0.0000 0.5000
0.0000 0.5000 0.8783
0.5000 0.0000 0.1217
0.5000 0.5000 0.5000
0.0000 0.0000 0.0000
0.0000 0.5000 0.6491
0.5000 0.0000 0.3509
0.5000 0.5000 0.0000
```

The magnetization comes out at 0.00 μB per cell. The volume comes out at 39.81 Å³/atom. The density of states at the Fermi level is 5.7 states/eV per cell.



The following is a PBE calculation of crystalline CsK2In2Bi2 at its relaxed geometry, from the Alexandria database.

```
CsK2In2Bi2
1.0
2.7623 1.5948 11.1487
-2.7623 1.5948 11.1487
0.0000 -3.1896 11.1487
Cs K In Bi
1 2 2 2
direct
0.0000 0.0000 0.0000
0.1403 0.1403 0.1403
0.8597 0.8597 0.8597
0.4325 0.4325 0.4325
0.5675 0.5675 0.5675
0.2505 0.2505 0.2505
0.7495 0.7495 0.7495
```

The magnetization comes out at 0.00 μB per cell. The volume comes out at 42.10 Å³/atom. The density of states at the Fermi level is 2.7 states/eV per cell.



The following is a PBE calculation of crystalline CsLa2InBi at its relaxed geometry, from the Alexandria database.

```
CsLa2InBi
1.0
6.2147 0.0000 0.0000
0.0000 6.2147 0.0000
0.0000 0.0000 6.9775
Cs La In Bi
1 2 1 1
direct
0.0000 0.0000 0.0000
0.0000 0.5000 0.5000
0.5000 0.0000 0.5000
0.5000 0.5000 0.0000
0.0000 0.0000 0.5000
```

The magnetization comes out at 1.47 μB per cell. The volume comes out at 53.90 Å³/atom. The density of states at the Fermi level is 4.9 states/eV per cell.



Calculated DFT formation energy, -1.3; -1.3; 1.0; -3.1; -0.6; -0.2; -2.5; -1.8; -1.4; -2.2; -1.6; 1.0 eV per formula unit (same order as the records).
Calculated E_tot, -2.8688; -2.6729; -2.8380; -2.6048; -3.1652; -2.1273; -2.5415; -2.0461; -2.2635; -2.8714; -2.5526; -3.2748 eV/atom (same order as the records).